# Ca2BiSe | the Alexandria database | PBE-GGA | relaxed
# Raw formation energy ... -1.326 eV per atom
# Magnetic moment ... 0.00 μB per cell
# Relative energy among the computed polymorphs ... 0 meV per atom
# DOS at the Fermi energy ... 0.2516 states/eV per atom
# Crystal system ... trigonal
data_Ca2BiSe
_chemical_formula_sum 'Ca6 Bi3 Se3'
_cell_length_a 4.1817
_cell_length_b 4.1817
_cell_length_c 23.8030
_cell_angle_alpha 90.00
_cell_angle_beta 90.00
_cell_angle_gamma 120.00
_space_group_name_H-M_alt 'R -3 m'
_space_group_IT_number 166
_space_group_name_Hall '-R 3 2"'
loop_
_atom_site_label
_atom_site_fract_x
_atom_site_fract_y
_atom_site_fract_z
_atom_site_occupancy
Ca1 0.0000 0.0000 0.2390 1
Bi1 0.0000 0.0000 0.0000 1
Se1 0.0000 0.0000 0.5000 1



# TaReOsW2 | the Alexandria database | PBE-GGA | relaxed
# Magnetic moment ... 0.00 μB per cell
# Relative energy among the computed polymorphs ... 0 meV per atom
# DOS at the Fermi energy ... 0.7799 states/eV per atom
# ΔH_f (0 K) ... 191.0 kJ/mol of atoms
# Crystal system ... tetragonal
data_TaReOsW2
_chemical_formula_sum 'Ta1 Re1 Os1 W2'
_cell_length_a 4.715
_cell_length_b 4.715
_cell_length_c 4.630
_cell_angle_alpha 90.00
_cell_angle_beta 90.00
_cell_angle_gamma 90.00
_space_group_name_H-M_alt 'P 4/m m m'
_space_group_IT_number 123
_space_group_name_Hall '-P 4 2'
loop_
_atom_site_label
_atom_site_fract_x
_atom_site_fract_y
_atom_site_fract_z
_atom_site_occupancy
Ta1 0.000 0.000 0.000 1
Re1 0.500 0.500 0.500 1
Os1 0.500 0.500 0.000 1
W1 0.000 0.500 0.500 1



# ReNiP4 | the Alexandria database | PBE-GGA | relaxed
# Magnetic moment ... 0.00 μB per cell
# DOS at the Fermi energy ... 0.5113 states/eV per atom
# ΔH_f (0 K) ... 85.2 kJ/mol of atoms
# Crystal system ... cubic
data_ReNiP4
_chemical_formula_sum 'Re4 Ni4 P16'
_cell_length_a 6.844
_cell_length_b 6.844
_cell_length_c 6.844
_cell_angle_alpha 90.00
_cell_angle_beta 90.00
_cell_angle_gamma 90.00
_space_group_name_H-M_alt 'F -4 3 m'
_space_group_IT_number 216
_space_group_name_Hall 'F -4 2 3'
loop_
_atom_site_label
_atom_site_fract_x
_atom_site_fract_y
_atom_site_fract_z
_atom_site_occupancy
Re1 0.000 0.000 0.000 1
Ni1 0.250 0.250 0.750 1
P1 0.125 0.125 0.375 1



# MnWBr2 | the Alexandria database | PBE-GGA | relaxed
# Raw formation energy ... 1.147 eV per atom
# Magnetic moment ... 2.18 μB per cell
# Relative energy among the computed polymorphs ... 991 meV per atom
# DOS at the Fermi energy ... 0.6383 states/eV per atom
# Crystal system ... tetragonal
data_MnWBr2
_chemical_formula_sum 'Mn2 W2 Br4'
_cell_length_a 3.947
_cell_length_b 3.947
_cell_length_c 10.522
_cell_angle_alpha 90.00
_cell_angle_beta 90.00
_cell_angle_gamma 90.00
_space_group_name_H-M_alt 'I -4 m 2'
_space_group_IT_number 119
_space_group_name_Hall 'I -4 -2'
loop_
_atom_site_label
_atom_site_fract_x
_atom_site_fract_y
_atom_site_fract_z
_atom_site_occupancy
Mn1 0.000 0.000 0.000 1
W1 0.000 0.500 0.750 1
Br1 0.000 0.000 0.500 1
Br2 0.000 0.500 0.250 1



# Pa2MoP | the Alexandria database | PBE-GGA | relaxed
# Magnetic moment ... 0.00 μB per cell
# Relative energy among the computed polymorphs ... 128 meV per atom
# DOS at the Fermi energy ... 1.4641 states/eV per atom
# ΔH_f (0 K) ... -31.5 kJ/mol of atoms
# Crystal system ... tetragonal
data_Pa2MoP
_chemical_formula_sum 'Pa2 Mo1 P1'
_cell_length_a 4.358
_cell_length_b 4.358
_cell_length_c 4.102
_cell_angle_alpha 90.00
_cell_angle_beta 90.00
_cell_angle_gamma 90.00
_space_group_name_H-M_alt 'P 4/m m m'
_space_group_IT_number 123
_space_group_name_Hall '-P 4 2'
loop_
_atom_site_label
_atom_site_fract_x
_atom_site_fract_y
_atom_site_fract_z
_atom_site_occupancy
Pa1 0.000 0.500 0.000 1
Mo1 0.000 0.000 0.500 1
P1 0.500 0.500 0.500 1



# BaTl2In2 | the Alexandria database | PBE-GGA | relaxed
# Magnetic moment ... 0.00 μB per cell
# Relative energy among the computed polymorphs ... 67 meV per atom
# DOS at the Fermi energy ... 0.4077 states/eV per atom
# ΔH_f (0 K) ... -21.1 kJ/mol of atoms
# Crystal system ... triclinic
data_BaTl2In2
_chemical_formula_sum 'Ba2 Tl4 In4'
_cell_length_a 6.811
_cell_length_b 6.985
_cell_length_c 8.417
_cell_angle_alpha 74.02
_cell_angle_beta 69.51
_cell_angle_gamma 63.63
_space_group_name_H-M_alt 'P -1'
_space_group_IT_number 2
_space_group_name_Hall '-P 1'
loop_
_atom_site_label
_atom_site_fract_x
_atom_site_fract_y
_atom_site_fract_z
_atom_site_occupancy
Ba1 0.161 0.217 0.225 1
Tl1 0.060 0.250 0.676 1
Tl2 0.444 0.357 0.791 1
In1 0.250 0.798 0.954 1
In2 0.420 0.801 0.553 1



# NiIr2Ru | the Alexandria database | PBE-GGA | relaxed
# Magnetic moment ... 0.00 μB per cell
# Relative energy among the computed polymorphs ... 46 meV per atom
# DOS at the Fermi energy ... 1.5116 states/eV per atom
# ΔH_f (0 K) ... 3.4 kJ/mol of atoms
# Crystal system ... monoclinic
data_NiIr2Ru
_chemical_formula_sum 'Ni2 Ir4 Ru2'
_cell_length_a 8.867
_cell_length_b 2.703
_cell_length_c 4.616
_cell_angle_alpha 90.00
_cell_angle_beta 100.18
_cell_angle_gamma 90.00
_space_group_name_H-M_alt 'C 1 m 1'
_space_group_IT_number 8
_space_group_name_Hall 'C -2y'
loop_
_atom_site_label
_atom_site_fract_x
_atom_site_fract_y
_atom_site_fract_z
_atom_site_occupancy
Ni1 0.000 0.000 0.000 1
Ir1 0.249 0.500 0.241 1
Ir2 0.499 0.000 0.506 1
Ru1 0.249 0.000 0.750 1



# Sr3PuMg2O9 | the Alexandria database | PBE-GGA | relaxed
# Raw formation energy ... -2.576 eV per atom
# Magnetic moment ... 2.06 μB per cell
# DOS at the Fermi energy ... 0.3763 states/eV per atom
# Crystal system ... trigonal
data_Sr3PuMg2O9
_chemical_formula_sum 'Sr3 Pu1 Mg2 O9'
_cell_length_a 5.7218
_cell_length_b 5.7218
_cell_length_c 7.2310
_cell_angle_alpha 90.00
_cell_angle_beta 90.00
_cell_angle_gamma 120.00
_space_group_name_H-M_alt 'P -3 m 1'
_space_group_IT_number 164
_space_group_name_Hall '-P 3 2"'
loop_
_atom_site_label
_atom_site_fract_x
_atom_site_fract_y
_atom_site_fract_z
_atom_site_occupancy
Sr1 0.0000 0.0000 0.0000 1
Sr2 0.3333 0.6667 0.7175 1
Pu1 0.0000 0.0000 0.5000 1
Mg1 0.3333 0.6667 0.1641 1
O1 0.0000 0.5000 0.0000 1
O2 0.1630 0.3260 0.3358 1



Question: Look up the magnetic moment of the sixth one.
Answer: 0.00 μB per cell